Arrangement i

A relaxed structure of CsCSe3, computed with PBE.

Geometry as POSCAR:
```
CsCSe3
1.0
4.824 0.000 0.000
0.000 4.824 0.000
0.000 0.000 4.824
Cs C Se
1 1 3
Direct
0.000 0.000 0.000 Cs
0.500 0.500 0.500 C
0.000 0.500 0.500 Se
0.500 0.000 0.500 Se
0.500 0.500 0.000 Se
```

- Fermi-level density of states: 3.87 states/eV/cell
- Magnetic moment: 0.0 Bohr magnetons per cell



Arrangement ii

A relaxed structure of CsCSe3, computed with PBE.

Geometry as POSCAR:
```
CsCSe3
1.0
6.103 0.000 0.000
0.000 6.103 0.000
0.000 0.000 6.103
Cs C Se
1 1 3
Direct
0.000 0.000 0.000 Cs
0.500 0.500 0.500 C
0.000 0.000 0.500 Se
0.000 0.500 0.000 Se
0.500 0.000 0.000 Se
```

- Fermi-level density of states: 21.11 states/eV/cell
- Magnetic moment: 3.2 Bohr magnetons per cell



Most stable structure - arrangement i; separation to the second - 173.1 kJ/mol of atoms.



Arrangement i

A relaxed structure of CsC3Se, computed with PBE.

Geometry as POSCAR:
```
CsC3Se
1.0
4.790 0.000 0.000
0.000 4.790 0.000
0.000 0.000 4.790
Cs C Se
1 3 1
Direct
0.000 0.000 0.000 Cs
0.000 0.000 0.500 C
0.000 0.500 0.000 C
0.500 0.000 0.000 C
0.500 0.500 0.500 Se
```

- Fermi-level density of states: 5.06 states/eV/cell
- Magnetic moment: 2.7 Bohr magnetons per cell



Arrangement ii

A relaxed structure of CsC3Se, computed with PBE.

Geometry as POSCAR:
```
CsC3Se
1.0
4.334 0.000 0.000
0.000 4.334 0.000
0.000 0.000 4.334
Cs C Se
1 3 1
Direct
0.000 0.000 0.000 Cs
0.000 0.500 0.500 C
0.500 0.000 0.500 C
0.500 0.500 0.000 C
0.500 0.500 0.500 Se
```

- Fermi-level density of states: 5.61 states/eV/cell
- Magnetic moment: 0.0 Bohr magnetons per cell



Most stable structure - arrangement ii; separation to the second - 129.7 kJ/mol of atoms.



Arrangement i

A relaxed structure of CsSiC3, computed with PBE.

Geometry as POSCAR:
```
CsSiC3
1.0
4.057 0.000 0.000
0.000 4.057 0.000
0.000 0.000 4.057
Cs Si C
1 1 3
Direct
0.000 0.000 0.000 Cs
0.500 0.500 0.500 Si
0.000 0.500 0.500 C
0.500 0.000 0.500 C
0.500 0.500 0.000 C
```

- Fermi-level density of states: 4.59 states/eV/cell
- Magnetic moment: 0.0 Bohr magnetons per cell



Arrangement ii

A relaxed structure of CsSiC3, computed with PBE.

Geometry as POSCAR:
```
CsSiC3
1.0
4.582 0.000 0.000
0.000 4.582 0.000
0.000 0.000 4.582
Cs Si C
1 1 3
Direct
0.000 0.000 0.000 Cs
0.500 0.500 0.500 Si
0.000 0.000 0.500 C
0.000 0.500 0.000 C
0.500 0.000 0.000 C
```

- Fermi-level density of states: 3.64 states/eV/cell
- Magnetic moment: 1.6 Bohr magnetons per cell



Most stable structure - arrangement i; separation to the second - 196.0 kJ/mol of atoms.



Arrangement i

A relaxed structure of CsSrC3, computed with PBE.

Geometry as POSCAR:
```
CsSrC3
1.0
5.474 0.000 0.000
0.000 5.474 0.000
0.000 0.000 5.474
Cs Sr C
1 1 3
Direct
0.000 0.000 0.000 Cs
0.500 0.500 0.500 Sr
0.000 0.500 0.500 C
0.500 0.000 0.500 C
0.500 0.500 0.000 C
```

- Fermi-level density of states: 0.36 states/eV/cell
- Magnetic moment: 9.0 Bohr magnetons per cell



Arrangement ii

A relaxed structure of CsSrC3, computed with PBE.

Geometry as POSCAR:
```
CsSrC3
1.0
4.702 0.000 0.000
0.000 4.702 0.000
0.000 0.000 4.702
Cs Sr C
1 1 3
Direct
0.000 0.000 0.000 Cs
0.500 0.500 0.500 Sr
0.000 0.000 0.500 C
0.000 0.500 0.000 C
0.500 0.000 0.000 C
```

- Fermi-level density of states: 3.95 states/eV/cell
- Magnetic moment: 2.1 Bohr magnetons per cell



Most stable structure - arrangement i; separation to the second - 40.6 kJ/mol of atoms.



Arrangement i

A relaxed structure of CsTaC2, computed with PBE.

Geometry as POSCAR:
```
CsTaC2
1.0
6.627 0.000 0.000
0.000 6.627 0.000
0.000 0.000 9.403
Cs Ta C
4 4 8
Direct
0.000 0.250 0.375 Cs
0.000 0.750 0.625 Cs
0.500 0.250 0.125 Cs
0.500 0.750 0.875 Cs
0.000 0.250 0.875 Ta
0.000 0.750 0.125 Ta
0.500 0.250 0.625 Ta
0.500 0.750 0.375 Ta
0.000 0.000 0.000 C
0.000 0.500 0.000 C
0.250 0.250 0.750 C
0.250 0.750 0.250 C
0.500 0.000 0.500 C
0.500 0.500 0.500 C
0.750 0.250 0.750 C
0.750 0.750 0.250 C
```

- Fermi-level density of states: 11.24 states/eV/cell
- Magnetic moment: 0.0 Bohr magnetons per cell



Arrangement ii

A relaxed structure of CsTaC2, computed with PBE.

Geometry as POSCAR:
```
CsTaC2
1.0
6.219 0.000 0.000
0.000 6.219 0.000
0.000 0.000 6.219
Cs Ta C
4 4 8
Direct
0.000 0.000 0.000 Cs
0.000 0.500 0.500 Cs
0.500 0.000 0.500 Cs
0.500 0.500 0.000 Cs
0.000 0.000 0.500 Ta
0.000 0.500 0.000 Ta
0.500 0.000 0.000 Ta
0.500 0.500 0.500 Ta
0.250 0.250 0.250 C
0.250 0.250 0.750 C
0.250 0.750 0.250 C
0.250 0.750 0.750 C
0.750 0.250 0.250 C
0.750 0.250 0.750 C
0.750 0.750 0.250 C
0.750 0.750 0.750 C
```

- Fermi-level density of states: 19.83 states/eV/cell
- Magnetic moment: 0.0 Bohr magnetons per cell



Most stable structure - arrangement i; separation to the second - 204.1 kJ/mol of atoms.



Arrangement i

A relaxed structure of CsTaC3, computed with PBE.

Geometry as POSCAR:
```
CsTaC3
1.0
4.267 0.000 0.000
0.000 4.267 0.000
0.000 0.000 4.267
Cs Ta C
1 1 3
Direct
0.000 0.000 0.000 Cs
0.500 0.500 0.500 Ta
0.000 0.000 0.500 C
0.000 0.500 0.000 C
0.500 0.000 0.000 C
```

- Fermi-level density of states: 2.25 states/eV/cell
- Magnetic moment: 0.0 Bohr magnetons per cell



Arrangement ii

A relaxed structure of CsTaC3, computed with PBE.

Geometry as POSCAR:
```
CsTaC3
1.0
4.397 0.000 0.000
0.000 4.397 0.000
0.000 0.000 4.397
Cs Ta C
1 1 3
Direct
0.000 0.000 0.000 Cs
0.500 0.500 0.500 Ta
0.000 0.500 0.500 C
0.500 0.000 0.500 C
0.500 0.500 0.000 C
```

- Fermi-level density of states: 1.21 states/eV/cell
- Magnetic moment: 0.0 Bohr magnetons per cell



Most stable structure - arrangement ii; separation to the second - 249.1 kJ/mol of atoms.



Arrangement i

A relaxed structure of Cs2TcC2, computed with PBE.

Geometry as POSCAR:
```
Cs2TcC2
1.0
9.053 0.000 0.000
0.000 9.053 0.000
0.000 0.000 3.159
Cs Tc C
4 2 4
Direct
0.137 0.363 0.000 Cs
0.363 0.863 0.000 Cs
0.637 0.137 0.000 Cs
0.863 0.637 0.000 Cs
0.000 0.000 0.000 Tc
0.500 0.500 0.000 Tc
0.168 0.668 0.500 C
0.332 0.168 0.500 C
0.668 0.832 0.500 C
0.832 0.332 0.500 C
```

- Fermi-level density of states: 17.18 states/eV/cell
- Magnetic moment: 6.4 Bohr magnetons per cell



Arrangement ii

A relaxed structure of Cs2TcC2, computed with PBE.

Geometry as POSCAR:
```
Cs2TcC2
1.0
2.997 0.000 0.000
0.000 2.997 0.000
0.000 0.000 24.013
Cs Tc C
4 2 4
Direct
0.000 0.000 0.130 Cs
0.000 0.000 0.870 Cs
0.500 0.500 0.370 Cs
0.500 0.500 0.630 Cs
0.000 0.000 0.500 Tc
0.500 0.500 0.000 Tc
0.000 0.500 0.250 C
0.000 0.500 0.750 C
0.500 0.000 0.250 C
0.500 0.000 0.750 C
```

- Fermi-level density of states: 8.97 states/eV/cell
- Magnetic moment: 0.0 Bohr magnetons per cell



Most stable structure - arrangement ii; separation to the second - 57.7 kJ/mol of atoms.



Arrangement i

A relaxed structure of CsTlC2, computed with PBE.

Geometry as POSCAR:
```
CsTlC2
1.0
5.144 0.000 0.000
0.000 5.144 0.000
0.000 0.000 15.172
Cs Tl C
4 4 8
Direct
0.000 0.250 0.375 Cs
0.000 0.750 0.625 Cs
0.500 0.250 0.125 Cs
0.500 0.750 0.875 Cs
0.000 0.250 0.875 Tl
0.000 0.750 0.125 Tl
0.500 0.250 0.625 Tl
0.500 0.750 0.375 Tl
0.000 0.000 0.000 C
0.000 0.500 0.000 C
0.250 0.250 0.750 C
0.250 0.750 0.250 C
0.500 0.000 0.500 C
0.500 0.500 0.500 C
0.750 0.250 0.750 C
0.750 0.750 0.250 C
```

- Fermi-level density of states: 9.50 states/eV/cell
- Magnetic moment: 0.0 Bohr magnetons per cell



Arrangement ii

A relaxed structure of CsTlC2, computed with PBE.

Geometry as POSCAR:
```
CsTlC2
1.0
6.963 0.000 0.000
0.000 6.963 0.000
0.000 0.000 6.963
Cs Tl C
4 4 8
Direct
0.000 0.000 0.000 Cs
0.000 0.500 0.500 Cs
0.500 0.000 0.500 Cs
0.500 0.500 0.000 Cs
0.000 0.000 0.500 Tl
0.000 0.500 0.000 Tl
0.500 0.000 0.000 Tl
0.500 0.500 0.500 Tl
0.250 0.250 0.250 C
0.250 0.250 0.750 C
0.250 0.750 0.250 C
0.250 0.750 0.750 C
0.750 0.250 0.250 C
0.750 0.250 0.750 C
0.750 0.750 0.250 C
0.750 0.750 0.750 C
```

- Fermi-level density of states: 14.64 states/eV/cell
- Magnetic moment: 0.0 Bohr magnetons per cell



Most stable structure - arrangement i; separation to the second - 47.1 kJ/mol of atoms.



Arrangement i

A relaxed structure of CsVC3, computed with PBE.

Geometry as POSCAR:
```
CsVC3
1.0
4.432 0.000 0.000
0.000 4.432 0.000
0.000 0.000 4.432
Cs V C
1 1 3
Direct
0.000 0.000 0.000 Cs
0.500 0.500 0.500 V
0.000 0.000 0.500 C
0.000 0.500 0.000 C
0.500 0.000 0.000 C
```

- Fermi-level density of states: 5.31 states/eV/cell
- Magnetic moment: 2.9 Bohr magnetons per cell



Arrangement ii

A relaxed structure of CsVC3, computed with PBE.

Geometry as POSCAR:
```
CsVC3
1.0
4.181 0.000 0.000
0.000 4.181 0.000
0.000 0.000 4.181
Cs V C
1 1 3
Direct
0.000 0.000 0.000 Cs
0.500 0.500 0.500 V
0.000 0.500 0.500 C
0.500 0.000 0.500 C
0.500 0.500 0.000 C
```

- Fermi-level density of states: 1.52 states/eV/cell
- Magnetic moment: 0.0 Bohr magnetons per cell



Most stable structure - arrangement ii; separation to the second - 234.3 kJ/mol of atoms.



Arrangement i

A relaxed structure of CsV3C, computed with PBE.

Geometry as POSCAR:
```
CsV3C
1.0
4.730 0.000 0.000
0.000 4.730 0.000
0.000 0.000 4.730
Cs V C
1 3 1
Direct
0.000 0.000 0.000 Cs
0.000 0.000 0.500 V
0.000 0.500 0.000 V
0.500 0.000 0.000 V
0.500 0.500 0.500 C
```

- Fermi-level density of states: 7.81 states/eV/cell
- Magnetic moment: 0.0 Bohr magnetons per cell



Arrangement ii

A relaxed structure of CsV3C, computed with PBE.

Geometry as POSCAR:
```
CsV3C
1.0
4.233 0.000 0.000
0.000 4.233 0.000
0.000 0.000 4.233
Cs V C
1 3 1
Direct
0.000 0.000 0.000 Cs
0.000 0.500 0.500 V
0.500 0.000 0.500 V
0.500 0.500 0.000 V
0.500 0.500 0.500 C
```

- Fermi-level density of states: 3.81 states/eV/cell
- Magnetic moment: 0.0 Bohr magnetons per cell



Most stable structure - arrangement ii; separation to the second - 255.2 kJ/mol of atoms.



Arrangement i

A relaxed structure of Cu2C, computed with PBE.

Geometry as POSCAR:
```
Cu2C
1.0
2.779 0.000 0.000
-1.389 2.407 0.000
0.000 0.000 13.849
Cu C
6 3
Direct
0.000 0.000 0.000 Cu
0.000 0.000 0.181 Cu
0.333 0.667 0.667 Cu
0.333 0.667 0.848 Cu
0.667 0.333 0.333 Cu
0.667 0.333 0.515 Cu
0.000 0.000 0.424 C
0.333 0.667 0.091 C
0.667 0.333 0.758 C
```

- Fermi-level density of states: 1.97 states/eV/cell
- Magnetic moment: 0.0 Bohr magnetons per cell



Arrangement ii

A relaxed structure of Cu2C, computed with PBE.

Geometry as POSCAR:
```
Cu2C
1.0
4.999 0.000 0.000
0.000 4.999 0.000
0.000 0.000 4.999
Cu C
8 4
Direct
0.197 0.197 0.197 Cu
0.197 0.303 0.697 Cu
0.303 0.697 0.197 Cu
0.303 0.803 0.697 Cu
0.697 0.197 0.303 Cu
0.697 0.303 0.803 Cu
0.803 0.697 0.303 Cu
0.803 0.803 0.803 Cu
0.000 0.000 0.500 C
0.000 0.500 0.000 C
0.500 0.000 0.000 C
0.500 0.500 0.500 C
```

- Fermi-level density of states: 6.21 states/eV/cell
- Magnetic moment: 0.0 Bohr magnetons per cell



Most stable structure - arrangement ii; separation to the second - 5.2 kJ/mol of atoms.



Arrangement i

A relaxed structure of Cu2C, computed with PBE.

Geometry as POSCAR:
```
Cu2C
1.0
5.550 0.000 0.000
-2.775 4.807 0.000
0.000 0.000 3.279
Cu C
6 3
Direct
0.000 0.265 0.000 Cu
0.000 0.599 0.500 Cu
0.265 0.000 0.000 Cu
0.401 0.401 0.500 Cu
0.599 0.000 0.500 Cu
0.735 0.735 0.000 Cu
0.000 0.000 0.500 C
0.333 0.667 0.000 C
0.667 0.333 0.000 C
```

- Fermi-level density of states: 4.70 states/eV/cell
- Magnetic moment: 0.0 Bohr magnetons per cell



Arrangement ii

A relaxed structure of Cu2C, computed with PBE.

Geometry as POSCAR:
```
Cu2C
1.0
2.611 0.000 0.000
0.000 2.611 0.000
0.000 0.000 8.739
Cu C
4 2
Direct
0.000 0.000 0.140 Cu
0.000 0.000 0.860 Cu
0.500 0.500 0.360 Cu
0.500 0.500 0.640 Cu
0.000 0.000 0.500 C
0.500 0.500 0.000 C
```

- Fermi-level density of states: 2.10 states/eV/cell
- Magnetic moment: 0.0 Bohr magnetons per cell



Most stable structure - arrangement i; separation to the second - 14.6 kJ/mol of atoms.



Arrangement i

A relaxed structure of Cu2C, computed with PBE.

Geometry as POSCAR:
```
Cu2C
1.0
4.968 0.000 0.000
0.000 4.968 0.000
0.000 0.000 2.652
Cu C
4 2
Direct
0.218 0.218 0.000 Cu
0.282 0.718 0.500 Cu
0.718 0.282 0.500 Cu
0.782 0.782 0.000 Cu
0.000 0.000 0.500 C
0.500 0.500 0.000 C
```

- Fermi-level density of states: 3.89 states/eV/cell
- Magnetic moment: 0.0 Bohr magnetons per cell



Arrangement ii

A relaxed structure of Cu2C, computed with PBE.

Geometry as POSCAR:
```
Cu2C
1.0
3.934 0.000 0.000
-1.967 3.407 0.000
0.000 0.000 2.393
Cu C
2 1
Direct
0.333 0.667 0.000 Cu
0.667 0.333 0.000 Cu
0.000 0.000 0.500 C
```

- Fermi-level density of states: 0.76 states/eV/cell
- Magnetic moment: 0.0 Bohr magnetons per cell



Arrangement iii

A relaxed structure of Cu2C, computed with PBE.

Geometry as POSCAR:
```
Cu2C
1.0
2.581 0.000 0.000
0.000 2.581 0.000
0.000 0.000 18.774
Cu C
8 4
Direct
0.000 0.250 0.309 Cu
0.000 0.250 0.441 Cu
0.000 0.750 0.559 Cu
0.000 0.750 0.691 Cu
0.500 0.250 0.059 Cu
0.500 0.250 0.191 Cu
0.500 0.750 0.809 Cu
0.500 0.750 0.941 Cu
0.000 0.250 0.875 C
0.000 0.750 0.125 C
0.500 0.250 0.625 C
0.500 0.750 0.375 C
```

- Fermi-level density of states: 4.77 states/eV/cell
- Magnetic moment: 0.0 Bohr magnetons per cell



Arrangement iv

A relaxed structure of Cu2C, computed with PBE.

Geometry as POSCAR:
```
Cu2C
1.0
0.000 3.293 3.293
3.293 0.000 3.293
3.293 3.293 0.000
Cu C
4 2
Direct
0.000 0.000 0.000 Cu
0.000 0.000 0.500 Cu
0.000 0.500 0.000 Cu
0.500 0.000 0.000 Cu
0.375 0.375 0.375 C
0.625 0.625 0.625 C
```

- Fermi-level density of states: 1.37 states/eV/cell
- Magnetic moment: 0.0 Bohr magnetons per cell



Most stable structure - arrangement i; separation to the second - 30.3 kJ/mol of atoms.